(1)
! Ce2BiH2Pb (PBE-GGA, relaxed); values from VASP
! DOS at the Fermi energy: 9.07 states/eV/cell
! Raw total energy: -0.178 Ha/atom
&SYSTEM
  ibrav = 0, nat = 6, ntyp = 4
/
ATOMIC_SPECIES
Ce 140.12 Ce.upf
Bi 208.98 Bi.upf
H 1.01 H.upf
Pb 207.20 Pb.upf
ATOMIC_POSITIONS crystal
Ce 0.3333 0.6667 0.2642
Ce 0.6667 0.3333 0.7358
Bi 0.0000 0.0000 0.5000
H 0.3333 0.6667 0.7428
H 0.6667 0.3333 0.2572
Pb 0.0000 0.0000 0.0000
CELL_PARAMETERS angstrom
3.9818 0.0000 0.0000
-1.9909 3.4484 0.0000
0.0000 0.0000 9.5660

***

(2)
! Ce2Pu2Bi2H (PBE-GGA, relaxed); values from VASP
! DOS at the Fermi energy: 18.99 states/eV/cell
! Raw total energy: -0.289 Ha/atom
&SYSTEM
  ibrav = 0, nat = 7, ntyp = 4
/
ATOMIC_SPECIES
Ce 140.12 Ce.upf
Pu 244.00 Pu.upf
Bi 208.98 Bi.upf
H 1.01 H.upf
ATOMIC_POSITIONS crystal
Ce 0.1660 0.1660 0.0000
Ce 0.8340 0.8340 0.0000
Pu 0.0000 0.5000 0.5000
Pu 0.5000 0.0000 0.5000
Bi 0.3572 0.3572 0.0000
Bi 0.6428 0.6428 0.0000
H 0.0000 0.0000 0.0000
CELL_PARAMETERS angstrom
-2.3381 2.3381 8.5983
2.3381 -2.3381 8.5983
2.3381 2.3381 -8.5983

***

(3)
! CePuBiH (PBE-GGA, relaxed); values from VASP
! DOS at the Fermi energy: 27.59 states/eV/cell
! Raw total energy: -0.270 Ha/atom
&SYSTEM
  ibrav = 0, nat = 8, ntyp = 4
/
ATOMIC_SPECIES
Ce 140.12 Ce.upf
Pu 244.00 Pu.upf
Bi 208.98 Bi.upf
H 1.01 H.upf
ATOMIC_POSITIONS crystal
Ce 0.2500 0.7500 0.0000
Ce 0.7500 0.2500 0.0000
Pu 0.2500 0.2500 0.3550
Pu 0.7500 0.7500 0.6450
Bi 0.2500 0.2500 0.7216
Bi 0.7500 0.7500 0.2784
H 0.2500 0.2500 0.0924
H 0.7500 0.7500 0.9076
CELL_PARAMETERS angstrom
4.6125 0.0000 0.0000
0.0000 4.6125 0.0000
0.0000 0.0000 8.8990

***

(4)
! Ce4BiH3Rh12 (PBE-GGA, relaxed); values from VASP
! DOS at the Fermi energy: 17.94 states/eV/cell
! Raw total energy: -0.248 Ha/atom
&SYSTEM
  ibrav = 0, nat = 20, ntyp = 4
/
ATOMIC_SPECIES
Ce 140.12 Ce.upf
Bi 208.98 Bi.upf
H 1.01 H.upf
Rh 102.91 Rh.upf
ATOMIC_POSITIONS crystal
Ce 0.0000 0.0000 0.5000
Ce 0.0000 0.5000 0.0000
Ce 0.5000 0.0000 0.0000
Ce 0.5000 0.5000 0.5000
Bi 0.0000 0.0000 0.0000
H 0.0000 0.5000 0.5000
H 0.5000 0.0000 0.5000
H 0.5000 0.5000 0.0000
Rh 0.0000 0.2981 0.2981
Rh 0.0000 0.7019 0.7019
Rh 0.2500 0.5000 0.7500
Rh 0.2500 0.7500 0.5000
Rh 0.2981 0.0000 0.2981
Rh 0.2981 0.2981 0.0000
Rh 0.5000 0.2500 0.7500
Rh 0.5000 0.7500 0.2500
Rh 0.7019 0.0000 0.7019
Rh 0.7019 0.7019 0.0000
Rh 0.7500 0.2500 0.5000
Rh 0.7500 0.5000 0.2500
CELL_PARAMETERS angstrom
-4.2916 4.2916 4.2916
4.2916 -4.2916 4.2916
4.2916 4.2916 -4.2916

***

(5)
! Ce6Bi2HRu (PBE-GGA, relaxed); values from VASP
! DOS at the Fermi energy: 25.88 states/eV/cell
! Raw total energy: -0.220 Ha/atom
&SYSTEM
  ibrav = 0, nat = 10, ntyp = 4
/
ATOMIC_SPECIES
Ce 140.12 Ce.upf
Bi 208.98 Bi.upf
H 1.01 H.upf
Ru 101.07 Ru.upf
ATOMIC_POSITIONS crystal
Ce 0.0000 0.0000 0.2224
Ce 0.0000 0.0000 0.7776
Ce 0.0000 0.5000 0.0000
Ce 0.0000 0.5000 0.5000
Ce 0.5000 0.0000 0.0000
Ce 0.5000 0.0000 0.5000
Bi 0.5000 0.5000 0.2445
Bi 0.5000 0.5000 0.7555
H 0.0000 0.0000 0.0000
Ru 0.0000 0.0000 0.5000
CELL_PARAMETERS angstrom
5.1260 0.0000 0.0000
0.0000 5.1260 0.0000
0.0000 0.0000 10.1708

***

(6)
! Ce4BiSbH (PBE-GGA, relaxed); values from VASP
! DOS at the Fermi energy: 45.18 states/eV/cell
! Raw total energy: -0.209 Ha/atom
&SYSTEM
  ibrav = 0, nat = 14, ntyp = 4
/
ATOMIC_SPECIES
Ce 140.12 Ce.upf
Bi 208.98 Bi.upf
Sb 121.76 Sb.upf
H 1.01 H.upf
ATOMIC_POSITIONS crystal
Ce 0.0000 0.5000 0.0000
Ce 0.0000 0.5000 0.5000
Ce 0.0719 0.9281 0.7500
Ce 0.4230 0.5770 0.7500
Ce 0.5000 0.0000 0.0000
Ce 0.5000 0.0000 0.5000
Ce 0.5770 0.4230 0.2500
Ce 0.9281 0.0719 0.2500
Bi 0.3904 0.6096 0.2500
Bi 0.6096 0.3904 0.7500
Sb 0.1130 0.8870 0.2500
Sb 0.8870 0.1130 0.7500
H 0.2049 0.7951 0.7500
H 0.7951 0.2049 0.2500
CELL_PARAMETERS angstrom
3.2089 -8.8784 0.0000
3.2089 8.8784 0.0000
0.0000 0.0000 6.4236

***

(7)
! CeHfBi3 (PBE-GGA, relaxed); values from VASP
! DOS at the Fermi energy: 32.30 states/eV/cell
! Raw total energy: -0.217 Ha/atom
&SYSTEM
  ibrav = 0, nat = 20, ntyp = 3
/
ATOMIC_SPECIES
Ce 140.12 Ce.upf
Hf 178.49 Hf.upf
Bi 208.98 Bi.upf
ATOMIC_POSITIONS crystal
Ce 0.1838 0.0099 0.2500
Ce 0.1838 0.4901 0.7500
Ce 0.8162 0.5099 0.2500
Ce 0.8162 0.9901 0.7500
Hf 0.4070 0.7500 0.0000
Hf 0.4070 0.7500 0.5000
Hf 0.5930 0.2500 0.0000
Hf 0.5930 0.2500 0.5000
Bi 0.0026 0.7500 0.0000
Bi 0.0026 0.7500 0.5000
Bi 0.2560 0.5159 0.2500
Bi 0.2560 0.9841 0.7500
Bi 0.4203 0.1195 0.2500
Bi 0.4203 0.3805 0.7500
Bi 0.5797 0.6195 0.2500
Bi 0.5797 0.8805 0.7500
Bi 0.7440 0.0159 0.2500
Bi 0.7440 0.4841 0.7500
Bi 0.9974 0.2500 0.0000
Bi 0.9974 0.2500 0.5000
CELL_PARAMETERS angstrom
13.6789 0.0000 0.0000
0.0000 6.6904 0.0000
0.0000 0.0000 6.5142

***

(8)
! Ce2HfBi (PBE-GGA, relaxed); values from VASP
! Excess energy over the best structure of this formula in the dataset: 0.0 meV per atom
! DOS at the Fermi energy: 7.78 states/eV/cell
! Raw total energy: -0.244 Ha/atom
&SYSTEM
  ibrav = 0, nat = 4, ntyp = 3
/
ATOMIC_SPECIES
Ce 140.12 Ce.upf
Hf 178.49 Hf.upf
Bi 208.98 Bi.upf
ATOMIC_POSITIONS crystal
Ce 0.0000 0.5000 0.0000
Ce 0.5000 0.0000 0.0000
Hf 0.0000 0.0000 0.5000
Bi 0.5000 0.5000 0.5000
CELL_PARAMETERS angstrom
4.5671 0.0000 0.0000
0.0000 4.5671 0.0000
0.0000 0.0000 4.9319

***

(9)
! Ce2HfBi (PBE-GGA, relaxed); values from VASP
! Excess energy over the best structure of this formula in the dataset: 378.1 meV per atom
! DOS at the Fermi energy: 7.69 states/eV/cell
! Raw total energy: -0.230 Ha/atom
&SYSTEM
  ibrav = 0, nat = 4, ntyp = 3
/
ATOMIC_SPECIES
Ce 140.12 Ce.upf
Hf 178.49 Hf.upf
Bi 208.98 Bi.upf
ATOMIC_POSITIONS crystal
Ce 0.0836 0.0836 0.0836
Ce 0.9164 0.9164 0.9164
Hf 0.0000 0.0000 0.0000
Bi 0.5000 0.5000 0.5000
CELL_PARAMETERS angstrom
1.6304 0.9413 11.7377
-1.6304 0.9413 11.7377
0.0000 -1.8826 11.7377

***

(10)
! Ce3HfBi5 (PBE-GGA, relaxed); values from VASP
! DOS at the Fermi energy: 36.91 states/eV/cell
! Raw total energy: -0.217 Ha/atom
&SYSTEM
  ibrav = 0, nat = 18, ntyp = 3
/
ATOMIC_SPECIES
Ce 140.12 Ce.upf
Hf 178.49 Hf.upf
Bi 208.98 Bi.upf
ATOMIC_POSITIONS crystal
Ce 0.0000 0.3840 0.2500
Ce 0.0000 0.6160 0.7500
Ce 0.3840 0.0000 0.2500
Ce 0.3840 0.3840 0.7500
Ce 0.6160 0.0000 0.7500
Ce 0.6160 0.6160 0.2500
Hf 0.0000 0.0000 0.0000
Hf 0.0000 0.0000 0.5000
Bi 0.0000 0.2656 0.7500
Bi 0.0000 0.7344 0.2500
Bi 0.2656 0.0000 0.7500
Bi 0.2656 0.2656 0.2500
Bi 0.3333 0.6667 0.0000
Bi 0.3333 0.6667 0.5000
Bi 0.6667 0.3333 0.0000
Bi 0.6667 0.3333 0.5000
Bi 0.7344 0.0000 0.2500
Bi 0.7344 0.7344 0.7500
CELL_PARAMETERS angstrom
9.6600 0.0000 0.0000
-4.8300 8.3658 0.0000
0.0000 0.0000 6.5082

***

(11)
! CeHfBi (PBE-GGA, relaxed); values from VASP
! DOS at the Fermi energy: 10.43 states/eV/cell
! Raw total energy: -0.250 Ha/atom
&SYSTEM
  ibrav = 0, nat = 6, ntyp = 3
/
ATOMIC_SPECIES
Ce 140.12 Ce.upf
Hf 178.49 Hf.upf
Bi 208.98 Bi.upf
ATOMIC_POSITIONS crystal
Ce 0.2500 0.2500 0.0674
Ce 0.7500 0.7500 0.9326
Hf 0.2500 0.2500 0.4218
Hf 0.7500 0.7500 0.5782
Bi 0.2500 0.2500 0.7315
Bi 0.7500 0.7500 0.2685
CELL_PARAMETERS angstrom
3.8551 0.0000 0.0000
0.0000 3.8551 0.0000
0.0000 0.0000 10.2068

***

(12)
! CeHgBi (PBE-GGA, relaxed); values from VASP
! Excess energy over the best structure of this formula in the dataset: 92.5 meV per atom
! DOS at the Fermi energy: 7.58 states/eV/cell
! Raw total energy: -0.137 Ha/atom
&SYSTEM
  ibrav = 0, nat = 3, ntyp = 3
/
ATOMIC_SPECIES
Ce 140.12 Ce.upf
Hg 200.59 Hg.upf
Bi 208.98 Bi.upf
ATOMIC_POSITIONS crystal
Ce 0.0000 0.0000 0.0000
Hg 0.6732 0.6732 0.0000
Bi 0.3455 0.3455 0.0000
CELL_PARAMETERS angstrom
-2.1573 2.1573 4.8357
2.1573 -2.1573 4.8357
2.1573 2.1573 -4.8357

***

(13)
! Ce2HgBi9 (PBE-GGA, relaxed); values from VASP
! DOS at the Fermi energy: 13.47 states/eV/cell
! Raw total energy: -0.154 Ha/atom
&SYSTEM
  ibrav = 0, nat = 12, ntyp = 3
/
ATOMIC_SPECIES
Ce 140.12 Ce.upf
Hg 200.59 Hg.upf
Bi 208.98 Bi.upf
ATOMIC_POSITIONS crystal
Ce 0.0000 0.0000 0.1601
Ce 0.0000 0.0000 0.8399
Hg 0.0000 0.0000 0.5000
Bi 0.0000 0.5000 0.0000
Bi 0.0000 0.5000 0.3320
Bi 0.0000 0.5000 0.6680
Bi 0.5000 0.0000 0.0000
Bi 0.5000 0.0000 0.3320
Bi 0.5000 0.0000 0.6680
Bi 0.5000 0.5000 0.1708
Bi 0.5000 0.5000 0.5000
Bi 0.5000 0.5000 0.8292
CELL_PARAMETERS angstrom
4.8537 0.0000 0.0000
0.0000 4.8537 0.0000
0.0000 0.0000 15.5320

***

(14)
! CeHgBi (PBE-GGA, relaxed); values from VASP
! Excess energy over the best structure of this formula in the dataset: 23.5 meV per atom
! DOS at the Fermi energy: 8.07 states/eV/cell
! Raw total energy: -0.140 Ha/atom
&SYSTEM
  ibrav = 0, nat = 3, ntyp = 3
/
ATOMIC_SPECIES
Ce 140.12 Ce.upf
Hg 200.59 Hg.upf
Bi 208.98 Bi.upf
ATOMIC_POSITIONS crystal
Ce 0.0000 0.0000 0.0000
Hg 0.3333 0.6667 0.2920
Bi 0.6667 0.3333 0.5847
CELL_PARAMETERS angstrom
4.9028 0.0000 0.0000
-2.4514 4.2459 0.0000
0.0000 0.0000 4.4127

***

(15)
! Ce8HgBi5 (PBE-GGA, relaxed); values from VASP
! DOS at the Fermi energy: 58.20 states/eV/cell
! Raw total energy: -0.198 Ha/atom
&SYSTEM
  ibrav = 0, nat = 14, ntyp = 3
/
ATOMIC_SPECIES
Ce 140.12 Ce.upf
Hg 200.59 Hg.upf
Bi 208.98 Bi.upf
ATOMIC_POSITIONS crystal
Ce 0.0254 0.6334 0.7555
Ce 0.2207 0.4719 0.0996
Ce 0.3666 0.1221 0.3920
Ce 0.3723 0.1210 0.9004
Ce 0.5281 0.6277 0.7488
Ce 0.7301 0.9746 0.6080
Ce 0.8779 0.2699 0.2445
Ce 0.8790 0.7793 0.2512
Hg 0.0000 0.0000 0.0000
Bi 0.1267 0.2548 0.6287
Bi 0.2500 0.7500 0.5000
Bi 0.5019 0.8733 0.1280
Bi 0.6261 0.4981 0.3713
Bi 0.7452 0.3739 0.8720
CELL_PARAMETERS angstrom
-4.8000 4.8000 4.8327
4.8000 -4.8000 4.8327
4.8000 4.8000 -4.8327

***

(16)
! Ce6Hg5Bi (PBE-GGA, relaxed); values from VASP
! Excess energy over the best structure of this formula in the dataset: 0.0 meV per atom
! DOS at the Fermi energy: 39.07 states/eV/cell
! Raw total energy: -0.138 Ha/atom
&SYSTEM
  ibrav = 0, nat = 12, ntyp = 3
/
ATOMIC_SPECIES
Ce 140.12 Ce.upf
Hg 200.59 Hg.upf
Bi 208.98 Bi.upf
ATOMIC_POSITIONS crystal
Ce 0.0000 0.2476 0.0000
Ce 0.0000 0.7524 0.0000
Ce 0.3303 0.2456 0.6603
Ce 0.3303 0.7544 0.6603
Ce 0.6697 0.2456 0.3397
Ce 0.6697 0.7544 0.3397
Hg 0.1641 0.0000 0.3285
Hg 0.1719 0.5000 0.3434
Hg 0.5000 0.0000 0.0000
Hg 0.8281 0.5000 0.6566
Hg 0.8359 0.0000 0.6715
Bi 0.5000 0.5000 0.0000
CELL_PARAMETERS angstrom
4.8918 0.0000 0.0000
0.0000 9.0850 0.0000
-2.4218 0.0000 7.3676

***

(17)
! Ce4Hg3Bi (PBE-GGA, relaxed); values from VASP
! Excess energy over the best structure of this formula in the dataset: 157.3 meV per atom
! DOS at the Fermi energy: 17.86 states/eV/cell
! Raw total energy: -0.139 Ha/atom
&SYSTEM
  ibrav = 0, nat = 8, ntyp = 3
/
ATOMIC_SPECIES
Ce 140.12 Ce.upf
Hg 200.59 Hg.upf
Bi 208.98 Bi.upf
ATOMIC_POSITIONS crystal
Ce 0.1260 0.1260 0.1050
Ce 0.2421 0.2421 0.8044
Ce 0.7579 0.7579 0.1956
Ce 0.8740 0.8740 0.8950
Hg 0.3666 0.3666 0.4034
Hg 0.5000 0.5000 0.0000
Hg 0.6334 0.6334 0.5966
Bi 0.0000 0.0000 0.5000
CELL_PARAMETERS angstrom
7.4775 -2.7528 0.0000
7.4775 2.7528 0.0000
-1.6395 0.0000 5.1954

***

(18)
! Ce2HgBi4 (PBE-GGA, relaxed); values from VASP
! DOS at the Fermi energy: 11.64 states/eV/cell
! Raw total energy: -0.163 Ha/atom
&SYSTEM
  ibrav = 0, nat = 7, ntyp = 3
/
ATOMIC_SPECIES
Ce 140.12 Ce.upf
Hg 200.59 Hg.upf
Bi 208.98 Bi.upf
ATOMIC_POSITIONS crystal
Ce 0.0000 0.5000 0.2478
Ce 0.5000 0.0000 0.7522
Hg 0.5000 0.5000 0.0000
Bi 0.0000 0.0000 0.5000
Bi 0.0000 0.5000 0.8104
Bi 0.5000 0.0000 0.1896
Bi 0.5000 0.5000 0.5000
CELL_PARAMETERS angstrom
4.6200 0.0000 0.0000
0.0000 4.6200 0.0000
0.0000 0.0000 10.2679

***

(19)
! Ce2Hg6Bi (PBE-GGA, relaxed); values from VASP
! DOS at the Fermi energy: 15.29 states/eV/cell
! Raw total energy: -0.079 Ha/atom
&SYSTEM
  ibrav = 0, nat = 9, ntyp = 3
/
ATOMIC_SPECIES
Ce 140.12 Ce.upf
Hg 200.59 Hg.upf
Bi 208.98 Bi.upf
ATOMIC_POSITIONS crystal
Ce 0.1663 0.1663 0.0000
Ce 0.8337 0.8337 0.0000
Hg 0.1688 0.4997 0.5000
Hg 0.1689 0.8311 0.5000
Hg 0.4997 0.1688 0.5000
Hg 0.5003 0.8312 0.5000
Hg 0.8311 0.1689 0.5000
Hg 0.8312 0.5003 0.5000
Bi 0.5000 0.5000 0.0000
CELL_PARAMETERS angstrom
7.7109 -4.4743 0.0000
7.7109 4.4743 0.0000
-0.0063 0.0000 3.4132

***

(20)
! Ce5Hg3Bi (PBE-GGA, relaxed); values from VASP
! DOS at the Fermi energy: 53.65 states/eV/cell
! Raw total energy: -0.152 Ha/atom
&SYSTEM
  ibrav = 0, nat = 18, ntyp = 3
/
ATOMIC_SPECIES
Ce 140.12 Ce.upf
Hg 200.59 Hg.upf
Bi 208.98 Bi.upf
ATOMIC_POSITIONS crystal
Ce 0.0000 0.2925 0.2500
Ce 0.0000 0.7075 0.7500
Ce 0.2925 0.0000 0.2500
Ce 0.2925 0.2925 0.7500
Ce 0.3333 0.6667 0.0000
Ce 0.3333 0.6667 0.5000
Ce 0.6667 0.3333 0.0000
Ce 0.6667 0.3333 0.5000
Ce 0.7075 0.0000 0.7500
Ce 0.7075 0.7075 0.2500
Hg 0.0000 0.3785 0.7500
Hg 0.0000 0.6215 0.2500
Hg 0.3785 0.0000 0.7500
Hg 0.3785 0.3785 0.2500
Hg 0.6215 0.0000 0.2500
Hg 0.6215 0.6215 0.7500
Bi 0.0000 0.0000 0.0000
Bi 0.0000 0.0000 0.5000
CELL_PARAMETERS angstrom
9.6337 0.0000 0.0000
-4.8168 8.3430 0.0000
0.0000 0.0000 6.4768

***

Number 1: M_tot 0.86 μB/cell. Number 2: M_tot 15.82 μB/cell. Number 3: M_tot 15.57 μB/cell. Number 4: M_tot 0.00 μB/cell. Number 5: M_tot 6.18 μB/cell. Number 6: M_tot 7.56 μB/cell. Number 7: M_tot 3.48 μB/cell. Number 8: M_tot 0.00 μB/cell. Number 9: M_tot 1.54 μB/cell. Number 10: M_tot 4.77 μB/cell. Number 11: M_tot 2.19 μB/cell. Number 12: M_tot 1.11 μB/cell. Number 13: M_tot 1.45 μB/cell. Number 14: M_tot 1.01 μB/cell. Number 15: M_tot 11.21 μB/cell. Number 16: M_tot 7.36 μB/cell. Number 17: M_tot 2.28 μB/cell. Number 18: M_tot 1.48 μB/cell. Number 19: M_tot 2.85 μB/cell. Number 20: M_tot 13.80 μB/cell.